# 1
Crystalline Sc2TiNi2 at its relaxed geometry, computed with PBEsol. Values from VASP.

The structure in Quantum ESPRESSO input format:
```
&SYSTEM
  ibrav = 0, nat = 10, ntyp = 3
/
ATOMIC_SPECIES
Sc 44.96 Sc.upf
Ni 58.69 Ni.upf
Ti 47.87 Ti.upf
CELL_PARAMETERS angstrom
-2.313 2.750 2.154
-4.730 -0.886 -3.947
-2.135 -4.611 3.594
ATOMIC_POSITIONS crystal
Sc 0.500 0.174 0.674
Sc 0.500 0.674 0.826
Sc 0.500 0.826 0.326
Sc 0.500 0.326 0.174
Ni 0.000 0.367 0.867
Ni 0.000 0.867 0.633
Ni 0.000 0.633 0.133
Ni 0.000 0.133 0.367
Ti 0.000 0.000 0.000
Ti 0.000 0.500 0.500
```

- Mass density: 5.22 Mg/m³
- V: 16.23 A^3/atom
- DOS at the Fermi energy: 1.1306 states/eV/atom
- Formation energy from the elements: -7.971 kcal/mol of atoms

# 2
Crystalline Ca2AlCuO5 at its relaxed geometry, computed with PBEsol. Values from VASP.

The structure in Quantum ESPRESSO input format:
```
&SYSTEM
  ibrav = 0, nat = 18, ntyp = 4
/
ATOMIC_SPECIES
Ca 40.08 Ca.upf
Al 26.98 Al.upf
Cu 63.55 Cu.upf
O 16.00 O.upf
CELL_PARAMETERS angstrom
5.197 0.000 0.000
0.000 5.588 0.000
-2.599 -2.794 7.165
ATOMIC_POSITIONS crystal
Ca 0.112 0.073 0.215
Ca 0.397 0.359 0.785
Ca 0.897 0.927 0.785
Ca 0.612 0.641 0.215
Al 0.293 0.670 0.500
Al 0.793 0.330 0.500
Cu 0.494 0.000 0.000
Cu 0.994 0.500 0.000
O 0.632 0.612 0.500
O 0.132 0.388 0.500
O 0.613 0.076 0.292
O 0.321 0.924 0.708
O 0.113 0.717 0.292
O 0.821 0.283 0.708
O 0.232 0.729 0.969
O 0.264 0.271 0.031
O 0.764 0.261 0.031
O 0.732 0.739 0.969
```

- ΔE_f (raw): -2.34 eV per atom
- Mass density: 4.00 Mg/m³
- V: 11.56 A^3/atom
- DOS at the Fermi energy: 0.1970 states/eV/atom

# 3
Crystalline LaAs2W at its relaxed geometry, computed with PBEsol. Values from VASP.

The structure in Quantum ESPRESSO input format:
```
&SYSTEM
  ibrav = 0, nat = 4, ntyp = 3
/
ATOMIC_SPECIES
As 74.92 As.upf
W 183.84 W.upf
La 138.91 La.upf
CELL_PARAMETERS angstrom
3.622 0.000 0.000
0.000 4.804 0.000
-1.811 0.000 5.059
ATOMIC_POSITIONS crystal
As 0.246 0.000 0.493
As 0.552 0.500 0.103
W 0.235 0.500 0.470
La 0.967 0.000 0.934
```

- Mass density: 8.92 Mg/m³
- V: 22.00 A^3/atom
- DOS at the Fermi energy: 0.5496 states/eV/atom
- Formation energy from the elements: -7.487 kcal/mol of atoms

# 4
Crystalline Na3CrBAsO7 at its relaxed geometry, computed with PBEsol. Values from VASP.

The structure in Quantum ESPRESSO input format:
```
&SYSTEM
  ibrav = 0, nat = 26, ntyp = 5
/
ATOMIC_SPECIES
Na 22.99 Na.upf
Cr 52.00 Cr.upf
B 10.81 B.upf
As 74.92 As.upf
O 16.00 O.upf
CELL_PARAMETERS angstrom
5.279 0.000 0.000
0.000 6.602 0.000
-0.316 0.000 9.010
ATOMIC_POSITIONS crystal
Na 0.762 0.250 0.427
Na 0.238 0.750 0.573
Na 0.247 0.001 0.254
Na 0.247 0.499 0.254
Na 0.753 0.501 0.746
Na 0.753 0.999 0.746
Cr 0.780 0.750 0.172
Cr 0.220 0.250 0.828
B 0.722 0.750 0.434
B 0.278 0.250 0.566
As 0.715 0.250 0.075
As 0.285 0.750 0.925
O 0.314 0.250 0.419
O 0.686 0.750 0.581
O 0.959 0.750 0.368
O 0.041 0.250 0.632
O 0.527 0.750 0.324
O 0.473 0.250 0.676
O 0.395 0.250 0.031
O 0.605 0.750 0.969
O 0.123 0.750 0.085
O 0.877 0.250 0.915
O 0.791 0.051 0.191
O 0.791 0.449 0.191
O 0.209 0.551 0.809
O 0.209 0.949 0.809
```

- ΔE_f (raw): -1.86 eV per atom
- Mass density: 3.37 Mg/m³
- V: 12.08 A^3/atom

# 5
Crystalline MgAl2Te at its relaxed geometry, computed with PBEsol. Values from VASP.

The structure in Quantum ESPRESSO input format:
```
&SYSTEM
  ibrav = 0, nat = 4, ntyp = 3
/
ATOMIC_SPECIES
Mg 24.30 Mg.upf
Te 127.60 Te.upf
Al 26.98 Al.upf
CELL_PARAMETERS angstrom
3.128 0.000 0.000
0.000 3.996 0.000
0.000 0.000 6.912
ATOMIC_POSITIONS crystal
Mg 0.000 0.000 0.486
Te 0.500 0.500 0.726
Al 0.000 0.000 0.061
Al 0.500 0.500 0.227
```

- ΔE_f (raw): 0.04 eV per atom
- Mass density: 3.96 Mg/m³
- V: 21.60 A^3/atom
- DOS at the Fermi energy: 0.4664 states/eV/atom
- E above lowest polymorph: 0.00 eV/f.u.

# 6
Crystalline SrCuSi at its relaxed geometry, computed with PBEsol. Values from VASP.

The structure in Quantum ESPRESSO input format:
```
&SYSTEM
  ibrav = 0, nat = 6, ntyp = 3
/
ATOMIC_SPECIES
Sr 87.62 Sr.upf
Si 28.09 Si.upf
Cu 63.55 Cu.upf
CELL_PARAMETERS angstrom
4.055 0.000 0.000
-2.027 3.511 0.000
0.000 0.000 9.264
ATOMIC_POSITIONS crystal
Sr 0.000 0.000 0.500
Sr 0.000 0.000 0.000
Si 0.667 0.333 0.250
Si 0.333 0.667 0.750
Cu 0.333 0.667 0.250
Cu 0.667 0.333 0.750
```

- ΔE_f (raw): -0.35 eV per atom
- Mass density: 4.51 Mg/m³
- V: 21.98 A^3/atom
- DOS at the Fermi energy: 0.9078 states/eV/atom